[1]
Compound: Li6NdZn2
Source: Alexandria
Functional: PBE
Structure: optimized geometry

Structure (CIF):
```
data_Li6NdZn2
_symmetry_space_group_name_H-M 'P 4/m m m'
_symmetry_Int_Tables_number 123
_symmetry_space_group_name_Hall '-P 4 2'
_cell_length_a 4.094
_cell_length_b 4.094
_cell_length_c 10.902
_cell_angle_alpha 90.00
_cell_angle_beta 90.00
_cell_angle_gamma 90.00
loop_
_atom_site_label
_atom_site_type_symbol
_atom_site_fract_x
_atom_site_fract_y
_atom_site_fract_z
_atom_site_occupancy
Li1 Li 0.000 0.000 0.000 1
Li2 Li 0.000 0.500 0.213 1
Li3 Li 0.500 0.500 0.000 1
Nd1 Nd 0.000 0.000 0.500 1
Zn1 Zn 0.500 0.500 0.376 1
```

DFT total energy	-2.18	eV per atom
spin magnetization	0.00	μB/atom
energy of formation	-89.0	meV per atom


[2]
Compound: Li2NdZn3
Source: Alexandria
Functional: PBE
Structure: optimized geometry

Structure (CIF):
```
data_Li2NdZn3
_symmetry_space_group_name_H-M 'P 6/m m m'
_symmetry_Int_Tables_number 191
_symmetry_space_group_name_Hall '-P 6 2'
_cell_length_a 5.3217
_cell_length_b 5.3217
_cell_length_c 4.4024
_cell_angle_alpha 90.00
_cell_angle_beta 90.00
_cell_angle_gamma 120.00
loop_
_atom_site_label
_atom_site_type_symbol
_atom_site_fract_x
_atom_site_fract_y
_atom_site_fract_z
_atom_site_occupancy
Li1 Li 0.3333 0.6667 0.0000 1
Nd1 Nd 0.0000 0.0000 0.0000 1
Zn1 Zn 0.0000 0.5000 0.5000 1
```

offset from the most stable computed form	0.000	eV per formula unit
DFT total energy	-2.28	eV per atom
spin magnetization	0.00	μB/atom
energy of formation	-207.1	meV per atom


[3]
Compound: LiNdZn3
Source: Alexandria
Functional: PBE
Structure: optimized geometry

Structure (CIF):
```
data_LiNdZn3
_symmetry_space_group_name_H-M 'P m -3 m'
_symmetry_Int_Tables_number 221
_symmetry_space_group_name_Hall '-P 4 2 3'
_cell_length_a 4.580
_cell_length_b 4.580
_cell_length_c 4.580
_cell_angle_alpha 90.00
_cell_angle_beta 90.00
_cell_angle_gamma 90.00
loop_
_atom_site_label
_atom_site_type_symbol
_atom_site_fract_x
_atom_site_fract_y
_atom_site_fract_z
_atom_site_occupancy
Li1 Li 0.000 0.000 0.000 1
Nd1 Nd 0.500 0.500 0.500 1
Zn1 Zn 0.000 0.000 0.500 1
```

offset from the most stable computed form	0.586	eV per formula unit
DFT total energy	-2.20	eV per atom
spin magnetization	0.00	μB/atom
energy of formation	-100.8	meV per atom